[1]
This record from Alexandria describes a geometry-optimized CuOsI2N structure. The functional is PBE.

POSCAR file:
```
CuOsI2N
1.0
5.5468 0.0000 0.0000
0.0000 5.5468 0.0000
0.0000 0.0000 3.7221
I Os Cu N
2 1 1 1
Cartesian
0.0000 2.7734 0.0000
2.7734 0.0000 0.0000
0.0000 0.0000 0.0000
2.7734 2.7734 1.8610
0.0000 0.0000 1.8610
```

The formation energy (no corrections) is 0.6639 eV/atom. The crystal system is tetragonal. For the total energy, the calculation gives -23.432 eV for the cell shown. Its density of states at the Fermi level is 0.51 states/eV per atom. The total magnetization comes out at 0.00 μB per atom. As for the energy above the most stable polymorph in this dataset: 0.0 meV per atom.

=====

[2]
This record from Alexandria describes a geometry-optimized Mg6In2Pt structure. The functional is PBE.

POSCAR file:
```
Mg6In2Pt
1.0
-0.8166 3.4844 0.1914
-0.1842 -0.4785 7.9257
6.8010 1.7978 -3.7128
Mg In Pt
6 2 1
Cartesian
-0.5253 1.4383 5.1300
1.9990 2.2221 1.6303
3.9183 2.8858 -2.2645
-0.0465 -0.1208 2.0014
4.9504 0.9872 3.1504
1.5286 -0.0256 6.9892
4.4694 1.0383 0.1673
2.1473 0.2810 4.0470
-0.4083 1.7422 0.0961
```

The crystal system is orthorhombic. For the total energy, the calculation gives -23.876 eV for the cell shown. Its density of states at the Fermi level is 0.52 states/eV per atom. The calculation puts the formation energy at -0.310 eV per atom. The total magnetization comes out at 0.00 μB per atom.

=====

[3]
This record from Alexandria describes a geometry-optimized AcLuIrAu structure. The functional is PBE.

POSCAR file:
```
AcLuIrAu
1.0
5.1488 0.0000 0.0000
2.5744 4.4590 0.0000
2.5744 1.4863 4.2040
Ac Ir Au Lu
1 1 1 1
Cartesian
2.5744 1.4863 1.0510
5.1488 2.9726 2.1020
0.0000 0.0000 0.0000
7.7232 4.4590 3.1530
```

The crystal system is cubic. For the total energy, the calculation gives -23.316 eV for the cell shown. Its density of states at the Fermi level is 0.81 states/eV per atom. The calculation puts the formation energy at -0.637 eV per atom. The total magnetization comes out at 0.00 μB per atom.

=====

[4]
This record from Alexandria describes a geometry-optimized CaAc2Rh9 structure. The functional is PBE.

POSCAR file:
```
CaAc2Rh9
1.0
-4.1348 3.0108 -1.6994
-0.8934 0.6176 -5.2792
-6.9884 -6.0585 -2.2775
Ca Ac Rh
1 2 9
Cartesian
0.0000 0.0000 0.0000
-7.2075 0.6468 -6.9586
-4.8090 -3.0769 -2.2975
-10.3227 -3.6153 -6.9301
-1.6938 1.1852 -2.3260
-6.0083 -1.2150 -4.6280
-3.7804 0.0966 -3.4877
-5.8302 1.5892 -4.3301
-4.2233 0.4028 -6.1048
-8.2361 -2.5267 -5.7684
-7.7933 -2.8329 -3.1513
-6.1863 -4.0193 -4.9260
```

The crystal system is trigonal. For the total energy, the calculation gives -80.792 eV for the cell shown. Its density of states at the Fermi level is 1.16 states/eV per atom. The calculation puts the formation energy at -0.368 eV per atom. The total magnetization comes out at 0.00 μB per atom.

=====

[5]
This record from Alexandria describes a geometry-optimized Be2BI structure. The functional is PBE.

POSCAR file:
```
Be2BI
1.0
2.8627 -3.1955 -0.2459
2.6138 -0.8030 3.3151
-0.5420 -3.5560 2.3512
I Be B
1 2 1
Cartesian
2.4672 -3.7772 2.7102
1.2336 -1.8886 1.3551
3.7008 -5.6659 4.0653
0.0000 0.0000 0.0000
```

The formation energy (no corrections) is 1.7081 eV/atom. The crystal system is cubic. For the total energy, the calculation gives -8.848 eV for the cell shown. Its density of states at the Fermi level is 0.74 states/eV per atom. The total magnetization comes out at 0.00 μB per atom. As for the energy above the most stable polymorph in this dataset: 1044.5 meV per atom.

=====

[6]
This record from Alexandria describes a geometry-optimized Hg3HI8 structure. The functional is PBE.

POSCAR file:
```
Hg3HI8
1.0
-3.6514 -1.9687 0.7918
4.8608 -10.3155 -3.2321
1.1695 7.4071 12.5472
Hg H I
3 1 8
Cartesian
0.8839 2.3090 9.8169
-0.4044 -1.9877 4.4556
1.3511 -6.9365 0.2469
3.3394 -3.7140 6.1654
2.2965 -0.2249 10.0312
3.7897 -3.9193 7.7315
-1.6978 2.0993 8.6528
1.3611 -0.1715 5.8501
0.8622 -4.4629 4.1424
3.9538 -6.7875 1.3570
-0.0557 -4.4191 0.0183
-1.5517 -0.7562 2.2267
```

The crystal system is monoclinic. For the total energy, the calculation gives -18.347 eV for the cell shown. Its density of states at the Fermi level is 0.96 states/eV per atom. The total magnetization comes out at 0.01 μB per atom.

=====

[7]
This record from Alexandria describes a geometry-optimized Ba3BiS6 structure. The functional is PBE.

POSCAR file:
```
Ba3BiS6
1.0
8.8599 -0.0155 -0.0158
-0.2077 8.8575 -0.0158
-0.2077 -0.2123 8.8549
Ba Bi S
6 2 12
Cartesian
3.4967 8.0663 6.6034
7.9885 6.5204 3.8165
2.0990 4.9945 0.6125
6.3455 3.6352 8.2108
0.4559 2.1093 5.0068
4.9478 0.5634 2.2199
0.0000 0.0000 0.0000
4.2222 4.3149 4.4116
2.3051 8.2120 0.6087
0.2844 8.0762 6.3277
4.8493 6.8583 4.0179
8.0681 6.3159 0.5998
3.7586 4.9320 6.9457
1.6930 4.7237 3.7385
6.7515 3.9060 5.0848
4.6858 3.6977 1.8775
0.3763 2.3138 8.2235
3.5952 1.7714 4.8054
8.1600 0.5535 2.4956
6.1394 0.4177 8.2145
```

The formation energy (no corrections) is -1.0542 eV/atom. The crystal system is trigonal. For the total energy, the calculation gives -89.912 eV for the cell shown. Its density of states at the Fermi level is 1.24 states/eV per atom. The total magnetization comes out at 0.00 μB per atom.

=====

[8]
This record from Alexandria describes a geometry-optimized KCu2Ag structure. The functional is PBE.

POSCAR file:
```
KCu2Ag
1.0
-1.5627 3.9984 -4.3829
0.5818 -1.5854 -5.8980
-2.4812 -0.5080 5.5879
Ag Cu K
1 2 1
Cartesian
-1.1949 -0.4435 -2.7253
-0.0368 0.0906 -0.3859
-0.4536 1.1159 -4.7546
-2.2671 2.3485 -1.9677
```

The crystal system is orthorhombic. For the total energy, the calculation gives -10.211 eV for the cell shown. Its density of states at the Fermi level is 0.38 states/eV per atom. The calculation puts the formation energy at 0.483 eV per atom. The total magnetization comes out at 0.00 μB per atom. As for the energy above the most stable polymorph in this dataset: 182.4 meV per atom.